The following is a PBEsol calculation of a relaxed structure of LaSc2TaCr, from Alexandria.

Results
ΔE_f: 0.978 eV/atom

Structure (CIF):
```
data_LaSc2TaCr
_cell_length_a 4.7534
_cell_length_b 4.7534
_cell_length_c 5.0044
_cell_angle_alpha 90.00
_cell_angle_beta 90.00
_cell_angle_gamma 90.00
_symmetry_space_group_name_H-M 'P 4/m m m'
_symmetry_Int_Tables_number 123
_symmetry_space_group_name_Hall '-P 4 2'
loop_
_atom_site_label
_atom_site_fract_x
_atom_site_fract_y
_atom_site_fract_z
La1 0.0000 0.0000 0.0000
Sc1 0.0000 0.5000 0.5000
Ta1 0.5000 0.5000 0.0000
Cr1 0.0000 0.0000 0.5000
```

=====

The following is a PBEsol calculation of a relaxed structure of CoReCl2, from Alexandria.

Results
Formation energy from raw total energies: 1249 meV/atom
ΔE to the lowest computed polymorph: 856 meV per atom

Structure (CIF):
```
data_CoReCl2
_cell_length_a 6.1521
_cell_length_b 6.1521
_cell_length_c 6.1521
_cell_angle_alpha 90.00
_cell_angle_beta 90.00
_cell_angle_gamma 90.00
_symmetry_space_group_name_H-M 'F -4 3 m'
_symmetry_Int_Tables_number 216
_symmetry_space_group_name_Hall 'F -4 2 3'
loop_
_atom_site_label
_atom_site_fract_x
_atom_site_fract_y
_atom_site_fract_z
Co1 0.0000 0.0000 0.0000
Re1 0.2500 0.2500 0.2500
Cl1 0.0000 0.0000 0.5000
Cl2 0.2500 0.2500 0.7500
```

=====

The following is a PBEsol calculation of a relaxed structure of KMgTiC2, from Alexandria.

Results
ΔE_f: 2.293 eV/atom

Structure (CIF):
```
data_KMgTiC2
_cell_length_a 4.2741
_cell_length_b 4.2741
_cell_length_c 4.7561
_cell_angle_alpha 90.00
_cell_angle_beta 90.00
_cell_angle_gamma 90.00
_symmetry_space_group_name_H-M 'P 4/m m m'
_symmetry_Int_Tables_number 123
_symmetry_space_group_name_Hall '-P 4 2'
loop_
_atom_site_label
_atom_site_fract_x
_atom_site_fract_y
_atom_site_fract_z
K1 0.0000 0.0000 0.0000
Mg1 0.5000 0.5000 0.5000
Ti1 0.5000 0.5000 0.0000
C1 0.0000 0.5000 0.5000
```